! ZnCu4Pt3 | the Alexandria database | PBE | optimized geometry; values from VASP
&SYSTEM
  ibrav = 0, nat = 8, ntyp = 3
/
ATOMIC_SPECIES
Zn 65.41 Zn.upf
Cu 63.55 Cu.upf
Pt 195.08 Pt.upf
ATOMIC_POSITIONS angstrom
Zn 0.0000 0.0000 0.0000
Cu 0.0000 0.0000 3.7898
Cu 1.8567 0.0000 5.5662
Cu 0.0000 1.9473 1.9892
Cu 0.0000 0.0000 11.3210
Pt 1.8567 0.0000 1.9754
Pt 0.0000 0.0000 7.5554
Pt 0.0000 1.9473 5.5800
CELL_PARAMETERS angstrom
-1.8567 1.9473 7.5554
1.8567 -1.9473 7.5554
1.8567 1.9473 -7.5554
! Mass density: 13.75 Mg/m³
! SG: Immm, No. 71
! Size of the total moment: 0.000 μB per cell
! Crystal system: orthorhombic
! E_form: -0.243 eV/atom
! Distance to the lowest polymorph of the same formula: 0.000 eV/atom



! Zn8CuPt2 | the Alexandria database | PBE | optimized geometry; values from VASP
&SYSTEM
  ibrav = 0, nat = 11, ntyp = 3
/
ATOMIC_SPECIES
Zn 65.41 Zn.upf
Cu 63.55 Cu.upf
Pt 195.08 Pt.upf
ATOMIC_POSITIONS angstrom
Zn 1.2916 1.3488 2.0986
Zn 3.8876 2.7303 0.0000
Zn 1.2916 -1.3488 2.0986
Zn 2.5681 0.0000 0.0000
Zn 5.2070 0.0000 0.0000
Zn 6.4835 1.3488 2.0986
Zn 3.8876 -2.7303 0.0000
Zn 6.4835 -1.3488 2.0986
Cu 0.0000 0.0000 0.0000
Pt 3.8876 1.3784 2.0986
Pt 3.8876 -1.3784 2.0986
CELL_PARAMETERS angstrom
3.8876 -5.1863 0.0000
3.8876 5.1863 0.0000
0.0000 0.0000 4.1972
! Mass density: 9.59 Mg/m³
! SG: Cmmm, No. 65
! Size of the total moment: 0.000 μB per cell
! Crystal system: orthorhombic
! E_form: -0.228 eV/atom
! Distance to the lowest polymorph of the same formula: 0.048 eV/atom



! Zn6Cu2Pt | the Alexandria database | PBE | optimized geometry; values from VASP
&SYSTEM
  ibrav = 0, nat = 9, ntyp = 3
/
ATOMIC_SPECIES
Zn 65.41 Zn.upf
Cu 63.55 Cu.upf
Pt 195.08 Pt.upf
ATOMIC_POSITIONS angstrom
Zn 7.3878 0.0000 1.3894
Zn -0.0171 0.0000 6.6246
Zn 2.4636 0.0000 0.3306
Zn 2.4534 0.0000 3.0877
Zn 4.9173 0.0000 4.9264
Zn 4.9071 0.0000 7.6834
Cu 2.4516 0.0000 5.6977
Cu 4.9190 0.0000 2.3163
Pt -0.0122 0.0000 4.0070
CELL_PARAMETERS angstrom
3.6975 -2.1373 0.0000
3.6975 2.1373 0.0000
-0.0244 0.0000 8.0140
! Mass density: 9.37 Mg/m³
! SG: C2/m, No. 12
! Size of the total moment: 0.000 μB per cell
! Crystal system: monoclinic
! E_form: -0.164 eV/atom
! Distance to the lowest polymorph of the same formula: 0.000 eV/atom



! Zn2CuPt4 | the Alexandria database | PBE | optimized geometry; values from VASP
&SYSTEM
  ibrav = 0, nat = 7, ntyp = 3
/
ATOMIC_SPECIES
Zn 65.41 Zn.upf
Cu 63.55 Cu.upf
Pt 195.08 Pt.upf
ATOMIC_POSITIONS angstrom
Zn 0.0000 0.0000 1.4580
Zn 0.0000 0.0000 9.3728
Cu 0.0000 0.0000 5.4154
Pt 2.3314 0.0000 0.0000
Pt 2.3314 0.0000 2.7077
Pt 0.0000 2.3314 0.0000
Pt 0.0000 2.3314 2.7077
CELL_PARAMETERS angstrom
-2.3314 2.3314 5.4154
2.3314 -2.3314 5.4154
2.3314 2.3314 -5.4154
! Mass density: 13.75 Mg/m³
! SG: I4/mmm, No. 139
! Size of the total moment: 0.000 μB per cell
! Crystal system: tetragonal
! E_form: 0.070 eV/atom



! Zn2CuPt9 | the Alexandria database | PBE | optimized geometry; values from VASP
&SYSTEM
  ibrav = 0, nat = 12, ntyp = 3
/
ATOMIC_SPECIES
Zn 65.41 Zn.upf
Cu 63.55 Cu.upf
Pt 195.08 Pt.upf
ATOMIC_POSITIONS angstrom
Zn 0.0000 0.0000 1.9712
Zn 0.0000 0.0000 9.7851
Cu 0.0000 0.0000 5.8782
Pt 0.0000 1.9633 0.0000
Pt 0.0000 1.9633 3.9384
Pt 0.0000 1.9633 7.8179
Pt 1.9633 0.0000 0.0000
Pt 1.9633 0.0000 3.9384
Pt 1.9633 0.0000 7.8179
Pt 1.9633 1.9633 1.9691
Pt 1.9633 1.9633 5.8782
Pt 1.9633 1.9633 9.7873
CELL_PARAMETERS angstrom
3.9266 0.0000 0.0000
0.0000 3.9266 0.0000
0.0000 0.0000 11.7563
! Mass density: 17.86 Mg/m³
! SG: P4/mmm, No. 123
! Size of the total moment: 0.000 μB per cell
! Crystal system: tetragonal
! E_form: -0.258 eV/atom



! Zn5Cu2Pt | the Alexandria database | PBE | optimized geometry; values from VASP
&SYSTEM
  ibrav = 0, nat = 16, ntyp = 3
/
ATOMIC_SPECIES
Zn 65.41 Zn.upf
Cu 63.55 Cu.upf
Pt 195.08 Pt.upf
ATOMIC_POSITIONS angstrom
Zn 0.0000 0.0000 0.0000
Zn 2.3154 -1.0247 1.6333
Zn 4.3649 -1.0247 3.4999
Zn 4.3649 1.0247 1.6333
Zn 2.3154 1.0247 3.4999
Zn 0.0000 0.0000 5.1332
Zn 1.0247 2.3154 1.6333
Zn -1.0247 2.3154 3.4999
Zn -1.0247 4.3649 1.6333
Zn 1.0247 4.3649 3.4999
Cu 2.4267 0.9135 0.0000
Cu 2.4267 -0.9135 5.1332
Cu 0.9135 4.2536 0.0000
Cu 0.9135 2.4267 5.1332
Pt 0.0000 0.0000 2.5666
Pt 0.0000 0.0000 7.6997
CELL_PARAMETERS angstrom
-3.3401 3.3401 5.1332
3.3401 -3.3401 5.1332
3.3401 3.3401 -5.1332
! Mass density: 9.41 Mg/m³
! SG: I4/mcm, No. 140
! Size of the total moment: 0.000 μB per cell
! Crystal system: tetragonal
! E_form: -0.149 eV/atom
! Distance to the lowest polymorph of the same formula: 0.080 eV/atom